DFT (PBE) results for a relaxed structure of MnNb2TcC.

```
MnNb2TcC
1.0
4.4010 0.0000 0.0000
0.0000 4.4010 0.0000
0.0000 0.0000 3.6040
Mn Nb Tc C
1 2 1 1
Direct
0.0000 0.0000 0.0000
0.0000 0.5000 0.5000
0.5000 0.0000 0.5000
0.5000 0.5000 0.0000
0.0000 0.0000 0.5000
```

- Calculated density: 8344 kg/m³
- Magnetization: 0.0 Bohr magnetons per cell
- DFT total energy: -9.88 eV per atom
- Space group: P4/mmm, No. 123
- Formation energy: -0.098 eV per atom